[1]
! Bi2HCl SCAN PBEsol geometry; values from VASP
! - Magnetic moment: 0.00 μB per cell
! - Calculated density: 7.7 g cm⁻³
! - N(E_F): 3.57 states/eV per cell
! - V: 24.4 Å³ per atom
! - Crystal system: tetragonal
&SYSTEM
  ibrav = 0, nat = 8, ntyp = 3
/
ATOMIC_SPECIES
Bi 208.98 Bi.upf
H 1.01 H.upf
Cl 35.45 Cl.upf
CELL_PARAMETERS angstrom
-3.118 3.118 5.010
3.118 -3.118 5.010
3.118 3.118 -5.010
ATOMIC_POSITIONS crystal
Bi 0.012 0.125 0.387
Bi 0.375 0.988 0.113
Bi 0.738 0.625 0.613
Bi 0.875 0.262 0.887
H 0.000 0.000 0.000
H 0.750 0.250 0.500
Cl 0.250 0.750 0.500
Cl 0.500 0.500 0.000

=====

[2]
! BiH3Cl SCAN PBEsol geometry; values from VASP
! - Magnetic moment: 0.00 μB per cell
! - Calculated density: 7.2 g cm⁻³
! - N(E_F): 3.20 states/eV per cell
! - V: 11.5 Å³ per atom
! - Crystal system: cubic
&SYSTEM
  ibrav = 0, nat = 5, ntyp = 3
/
ATOMIC_SPECIES
Bi 208.98 Bi.upf
H 1.01 H.upf
Cl 35.45 Cl.upf
CELL_PARAMETERS angstrom
3.858 0.000 0.000
0.000 3.858 0.000
0.000 0.000 3.858
ATOMIC_POSITIONS crystal
Bi 0.000 0.000 0.000
H 0.000 0.500 0.500
H 0.500 0.000 0.500
H 0.500 0.500 0.000
Cl 0.500 0.500 0.500

=====

Short version: DFT total energy = -41.868 -18.235 eV per atom, in the order given.